Below is crystalline Na2UTeO7 at its relaxed geometry, with properties calculated at the GGA-PBE level.

Lattice parameters (Å, degrees): 7.6309 6.5005 6.5005 107.49 90.00 90.00
Fractional positions:
Na: 0.0000 0.0000 0.0000
Na: 0.2500 0.9634 0.5006
Na: 0.5000 0.0000 0.0000
Na: 0.7500 0.5006 0.9634
U: 0.2500 0.4823 0.0051
U: 0.7500 0.0051 0.4823
Te: 0.0000 0.4742 0.4742
Te: 0.5000 0.4742 0.4742
O: 0.0145 0.1685 0.4292
O: 0.0490 0.5339 0.7773
O: 0.2500 0.1791 0.8833
O: 0.2500 0.5198 0.4103
O: 0.2500 0.7829 0.1231
O: 0.4510 0.5339 0.7773
O: 0.4855 0.1685 0.4292
O: 0.5145 0.4292 0.1685
O: 0.5490 0.7773 0.5339
O: 0.7500 0.1231 0.7829
O: 0.7500 0.4103 0.5198
O: 0.7500 0.8833 0.1791
O: 0.9510 0.7773 0.5339
O: 0.9855 0.4292 0.1685

Computed properties:
Its symmetry is Ama2.

Below is crystalline NaUTe2O8 at its relaxed geometry, with properties calculated at the GGA-PBE level.

Lattice parameters (Å, degrees): 7.0128 7.0128 5.5800 110.23 110.23 49.96
Fractional positions:
Na: 0.0000 0.0000 0.0000
U: 0.5000 0.5000 0.5000
Te: 0.2113 0.2113 0.7113
Te: 0.7887 0.7887 0.2887
O: 0.1213 0.6546 0.2477
O: 0.1707 0.1707 0.3574
O: 0.3454 0.8787 0.7523
O: 0.4212 0.4212 0.7192
O: 0.5788 0.5788 0.2808
O: 0.6546 0.1213 0.2477
O: 0.8293 0.8293 0.6426
O: 0.8787 0.3454 0.7523

Computed properties:
Its relative energy among the computed polymorphs is 63.2 meV per atom. Its symmetry is C2/m.

Below is crystalline NaUTeO6 at its relaxed geometry, with properties calculated at the GGA-PBE level.

Lattice parameters (Å, degrees): 5.6411 5.6411 10.1733 90.00 90.00 120.00
Fractional positions:
Na: 0.0000 0.0000 0.0000
Na: 0.0000 0.0000 0.5000
U: 0.3333 0.6667 0.2500
U: 0.6667 0.3333 0.7500
Te: 0.3333 0.6667 0.7500
Te: 0.6667 0.3333 0.2500
O: 0.0128 0.3784 0.6436
O: 0.0128 0.6344 0.8564
O: 0.3656 0.3784 0.8564
O: 0.3656 0.9872 0.6436
O: 0.3784 0.0128 0.1436
O: 0.3784 0.3656 0.3564
O: 0.6216 0.6344 0.6436
O: 0.6216 0.9872 0.8564
O: 0.6344 0.0128 0.3564
O: 0.6344 0.6216 0.1436
O: 0.9872 0.3656 0.1436
O: 0.9872 0.6216 0.3564

Computed properties:
Its symmetry is P-31c.

Number 1: formation energy (no corrections) -2.074 eV per atom, electronic total energy -6.7813 eV per atom. Number 2: formation energy (no corrections) -1.703 eV per atom, electronic total energy -6.5824 eV per atom. Number 3: formation energy (no corrections) -1.962 eV per atom, electronic total energy -7.0170 eV per atom.